Record 1
Here is a relaxed structure of AlInS2 from Alexandria via LeMat-Bulk. Energies are from GGA-PBE.

Structure (POSCAR):
```
AlInS2
1.0
2.1489 0.0000 7.7370
-1.0744 1.8610 7.7370
-1.0744 -1.8610 7.7370
S In Al
2 1 1
direct
0.1026 0.1026 0.1026
0.8974 0.8974 0.8974
0.5000 0.5000 0.5000
0.0000 0.0000 0.0000
```

Formation energy without anion corrections = -0.197 eV per atom
ρ = 3.684 g/cm³


Record 2
Here is a relaxed structure of K2AgPd from Alexandria via LeMat-Bulk. Energies are from GGA-PBE.

Structure (POSCAR):
```
K2AgPd
1.0
4.6485 0.0000 1.0291
2.2123 4.0909 1.0203
0.6718 0.4198 7.9783
Ag K Pd
1 2 1
direct
0.1358 0.8986 0.8298
0.8905 0.6536 0.5655
0.7145 0.4775 0.0935
0.4696 0.2323 0.8286
```

Formation energy = 0.032 eV per atom
ρ = 3.285 g/cm³


Record 3
Here is a relaxed structure of Zr4ZnGa from Alexandria via LeMat-Bulk. Energies are from GGA-PBE.

Structure (POSCAR):
```
Zr4ZnGa
1.0
5.3566 -0.3443 -1.3115
-3.3661 4.1810 -1.3115
0.1786 0.3443 5.5119
Zr Zn Ga
4 1 1
direct
0.5975 0.0975 0.1950
0.0975 0.9025 0.5000
0.4025 0.5975 0.5000
0.9025 0.4025 0.8050
0.0000 0.0000 0.0000
0.5000 0.5000 0.0000
```

Formation energy = -0.310 eV per atom
ρ = 6.803 g/cm³


Record 4
Here is a relaxed structure of HoZnAgPt from Alexandria via LeMat-Bulk. Energies are from GGA-PBE.

Structure (POSCAR):
```
HoZnAgPt
1.0
-0.8604 -1.1971 -4.5057
1.5916 -4.1289 -1.7010
-3.0511 -3.4926 -0.9835
Ho Zn Ag Pt
1 1 1 1
direct
0.7500 0.7500 0.7500
0.2500 0.2500 0.2500
0.0000 0.0000 0.0000
0.5000 0.5000 0.5000
```

Formation energy = -0.577 eV per atom
ρ = 11.754 g/cm³


Record 5
Here is a relaxed structure of RbBeSiI2 from Alexandria via LeMat-Bulk. Energies are from GGA-PBE.

Structure (POSCAR):
```
RbBeSiI2
1.0
6.8198 0.0000 0.0000
0.0000 6.6865 0.0000
0.0000 0.0000 6.8198
I Rb Si Be
2 1 1 1
direct
0.0000 0.0000 0.5000
0.5000 0.0000 0.0000
0.0000 0.0000 0.0000
0.0000 0.5000 0.0000
0.5000 0.5000 0.5000
```

Formation energy without anion corrections = 1.200 eV per atom
ρ = 2.010 g/cm³


Record 6
Here is a relaxed structure of Dy2Er12Th from Alexandria via LeMat-Bulk. Energies are from GGA-PBE.

Structure (POSCAR):
```
Dy2Er12Th
1.0
-5.5811 -1.4145 -3.1509
-3.4886 -4.9018 2.6172
-12.0745 21.5704 6.6436
Er Dy Th
24 4 2
direct
0.6068 0.9635 0.1430
0.0657 0.9019 0.9339
0.8242 0.0166 0.6762
0.1758 0.9834 0.3238
0.1068 0.4635 0.1430
0.3242 0.5166 0.6762
0.4410 0.4652 0.8090
0.3932 0.0365 0.8570
0.5657 0.4019 0.9339
0.9343 0.0981 0.0661
0.3467 0.3520 0.4026
0.7077 0.0662 0.5428
0.2922 0.9338 0.4572
0.0590 0.0348 0.1910
0.9410 0.9652 0.8090
0.7923 0.4338 0.4572
0.4343 0.5981 0.0661
0.5590 0.5348 0.1910
0.8467 0.8520 0.4026
0.2078 0.5662 0.5428
0.8932 0.5365 0.8570
0.6758 0.4834 0.3238
0.1533 0.1480 0.5974
0.6533 0.6480 0.5974
0.7221 0.9138 0.2771
0.2779 0.0862 0.7229
0.7779 0.5862 0.7229
0.2221 0.4138 0.2771
0.0000 0.5000 0.0000
0.5000 0.0000 0.0000
```

Formation energy = 0.030 eV per atom
ρ = 9.134 g/cm³


Record 7
Here is a relaxed structure of TaAlRh2 from Alexandria via LeMat-Bulk. Energies are from GGA-PBE.

Structure (POSCAR):
```
TaAlRh2
1.0
4.5001 -0.0038 -0.0086
3.5891 2.7147 -0.0086
0.7799 0.2614 5.0086
Al Ta Rh
1 1 2
direct
0.2500 0.2500 0.2500
0.7500 0.7500 0.7500
0.9940 0.9940 0.0095
0.5060 0.5060 0.4905
```

Formation energy = -0.507 eV per atom
ρ = 11.212 g/cm³


Record 8
Here is a relaxed structure of B3PC from Alexandria via LeMat-Bulk. Energies are from GGA-PBE.

Structure (POSCAR):
```
B3PC
1.0
-0.7127 -1.4468 -2.3131
3.1524 -0.7980 0.7223
-2.3079 -3.2972 3.4618
B P C
3 1 1
direct
0.2052 0.3863 0.6164
0.6732 0.5473 0.2380
0.8566 0.9749 0.0889
0.2857 0.9428 0.8196
0.1212 0.3740 0.3197
```

Formation energy = 0.300 eV per atom
ρ = 2.677 g/cm³


Record 9
Here is a relaxed structure of PaSbAu from Alexandria via LeMat-Bulk. Energies are from GGA-PBE.

Structure (POSCAR):
```
PaSbAu
1.0
4.1270 0.0000 0.0000
0.0000 4.6072 0.0000
0.0000 -2.3036 3.9900
Au Sb Pa
1 1 1
direct
0.3170 0.3333 0.6667
0.0654 0.0000 0.0000
0.6176 0.6667 0.3333
```

Formation energy without anion corrections = -0.388 eV per atom
ρ = 12.033 g/cm³


Record 10
Here is a relaxed structure of LiAs3H2O9 from Alexandria via LeMat-Bulk. Energies are from GGA-PBE.

Structure (POSCAR):
```
LiAs3H2O9
1.0
-3.0462 -3.0170 -7.6873
9.1760 -0.2598 -3.5341
5.5924 -8.5581 1.1428
O Li As H
36 4 12 8
direct
0.5595 0.6256 0.9708
0.7283 0.4245 0.9328
0.7191 0.9280 0.8004
0.8260 0.2151 0.7094
0.9405 0.6256 0.4708
0.6151 0.0729 0.0276
0.2809 0.0720 0.1996
0.0198 0.5938 0.2377
0.3260 0.7849 0.7906
0.0762 0.8449 0.9386
0.2283 0.5755 0.5672
0.0595 0.3744 0.5292
0.2249 0.2597 0.3090
0.4238 0.8449 0.4386
0.9238 0.1551 0.0614
0.7012 0.4838 0.6428
0.9802 0.4062 0.7623
0.4802 0.5938 0.7377
0.2988 0.5162 0.3572
0.4405 0.3744 0.0292
0.7751 0.7403 0.6910
0.5198 0.4062 0.2623
0.1740 0.7849 0.2906
0.7249 0.7403 0.1910
0.7809 0.9280 0.3004
0.2191 0.0720 0.6996
0.2717 0.5755 0.0672
0.7988 0.4838 0.1428
0.8849 0.0729 0.5276
0.7717 0.4245 0.4328
0.5762 0.1551 0.5614
0.1151 0.9271 0.4724
0.2012 0.5162 0.8572
0.3849 0.9271 0.9724
0.6740 0.2151 0.2094
0.2751 0.2597 0.8090
0.6086 0.8789 0.0002
0.1086 0.1211 0.4998
0.8914 0.8789 0.5002
0.3914 0.1211 0.9998
0.6807 0.5728 0.7527
0.3788 0.5787 0.9072
0.2590 0.9004 0.8657
0.7590 0.0996 0.6343
0.3193 0.4272 0.2473
0.7410 0.0996 0.1343
0.6212 0.4213 0.0928
0.2410 0.9004 0.3657
0.1212 0.5787 0.4072
0.1807 0.4272 0.7473
0.8193 0.5728 0.2527
0.8788 0.4213 0.5928
0.9198 0.2463 0.9595
0.0802 0.7537 0.0405
0.2375 0.1599 0.7238
0.4198 0.7537 0.5405
0.2625 0.1599 0.2238
0.7625 0.8401 0.2762
0.7375 0.8401 0.7762
0.5802 0.2463 0.4595
```

Calculated total energy = -343.53 eV per cell
ρ = 3.230 g/cm³


Record 11
Here is a relaxed structure of Tb2Pm6Er3In from Alexandria via LeMat-Bulk. Energies are from GGA-PBE.

Structure (POSCAR):
```
Tb2Pm6Er3In
1.0
6.1706 -0.0067 0.0055
-3.0896 5.3414 0.0055
-1.0463 -1.8116 11.5740
Pm Er Tb In
6 3 2 1
direct
0.9172 0.5898 0.7507
0.7559 0.7559 0.2504
0.5898 0.9172 0.7507
0.2441 0.2441 0.7496
0.4102 0.0828 0.2493
0.0828 0.4102 0.2493
0.1674 0.8326 0.5000
0.8326 0.1674 0.5000
0.5000 0.5000 0.5000
0.3337 0.6663 0.0000
0.6663 0.3337 0.0000
0.0000 0.0000 0.0000
```

Formation energy = -0.041 eV per atom
ρ = 7.857 g/cm³


Record 12
Here is a relaxed structure of LaPm6Nd4 from Alexandria via LeMat-Bulk. Energies are from GGA-PBE.

Structure (POSCAR):
```
LaPm6Nd4
1.0
-0.7406 -2.4010 2.5915
10.0793 1.8573 4.6014
-8.8451 6.1559 3.1754
Pm La Nd
6 1 4
direct
0.5000 0.6634 0.8317
0.5000 0.1683 0.3366
0.0000 0.0035 0.5018
0.5000 0.1683 0.8317
0.0000 0.4982 0.9965
0.0000 0.4982 0.5018
0.0000 0.0000 0.0000
0.5000 0.3928 0.1964
0.5000 0.8036 0.1964
0.0000 0.3333 0.6667
0.5000 0.8036 0.6072
```

Formation energy = 0.143 eV per atom
ρ = 6.675 g/cm³